[1]
A relaxed structure of NdAgPbS3. Source: OQMD, functional PBE-GGA.

- Energy above the lowest structure with this stoichiometry: 0.0092 eV per atom

Cell: 10.731 4.130 13.232 Å, 90.00 90.00 90.00°
Fractional coordinates of all 24 atoms:
Nd  0.021  0.250  0.234
Nd  0.479  0.750  0.734
Nd  0.521  0.250  0.266
Nd  0.979  0.750  0.766
Ag  0.232  0.250  0.723
Ag  0.268  0.750  0.223
Ag  0.732  0.250  0.777
Ag  0.768  0.750  0.277
Pb  0.203  0.750  0.498
Pb  0.297  0.250  0.998
Pb  0.703  0.750  0.002
Pb  0.797  0.250  0.502
S  0.037  0.250  0.615
S  0.089  0.750  0.102
S  0.237  0.750  0.840
S  0.263  0.250  0.340
S  0.411  0.250  0.602
S  0.463  0.750  0.115
S  0.537  0.250  0.885
S  0.589  0.750  0.398
S  0.737  0.750  0.660
S  0.763  0.250  0.160
S  0.911  0.250  0.898
S  0.963  0.750  0.385

=====

[2]
A relaxed structure of Sm3Gd3Te2Os. Source: OQMD, functional PBE-GGA.

- Energy above the lowest structure with this stoichiometry: 0.0000 eV per atom

Cell: 8.453 8.453 4.074 Å, 90.00 90.00 120.00°
Fractional coordinates of all 9 atoms:
Sm  0.000  0.399  0.000
Sm  0.399  0.000  0.000
Sm  0.601  0.601  0.000
Gd  0.000  0.762  0.500
Gd  0.238  0.238  0.500
Gd  0.762  0.000  0.500
Te  0.333  0.667  0.500
Te  0.667  0.333  0.500
Os  0.000  0.000  0.000

=====

[3]
A relaxed structure of CdCuGeW. Source: OQMD, functional PBE-GGA.

- Energy above the lowest structure with this stoichiometry: 0.0000 eV per atom

Cell: 4.512 4.512 4.512 Å, 60.00 60.00 60.00°
Fractional coordinates of all 4 atoms:
Cd  0.000  0.000  0.000
Cu  0.750  0.750  0.750
Ge  0.500  0.500  0.500
W  0.250  0.250  0.250

=====

[4]
A relaxed structure of ErSeO3F. Source: OQMD, functional PBE-GGA.

- Energy above the lowest structure with this stoichiometry: 0.0165 eV per atom

Cell: 6.521 6.783 7.061 Å, 90.00 99.36 90.00°
Fractional coordinates of all 24 atoms:
Er  0.137  0.141  0.324
Er  0.137  0.359  0.824
Er  0.863  0.641  0.176
Er  0.863  0.859  0.676
Se  0.358  0.617  0.293
Se  0.358  0.883  0.793
Se  0.642  0.117  0.207
Se  0.642  0.383  0.707
O  0.175  0.037  0.648
O  0.175  0.463  0.148
O  0.177  0.695  0.784
O  0.177  0.805  0.284
O  0.484  0.189  0.365
O  0.484  0.311  0.865
O  0.516  0.689  0.135
O  0.516  0.811  0.635
O  0.823  0.195  0.716
O  0.823  0.305  0.216
O  0.825  0.537  0.852
O  0.825  0.963  0.352
F  0.171  0.109  0.023
F  0.171  0.391  0.523
F  0.829  0.609  0.477
F  0.829  0.891  0.977

=====

[5]
A relaxed structure of AcZr3. Source: OQMD, functional PBE-GGA.

- Energy above the lowest structure with this stoichiometry: 0.0000 eV per atom
- Formation energy: 0.220 eV/atom

Cell: 6.844 6.844 5.415 Å, 90.00 90.00 120.00°
Fractional coordinates of all 8 atoms:
Ac  0.333  0.667  0.250
Ac  0.667  0.333  0.750
Zr  0.151  0.302  0.750
Zr  0.151  0.849  0.750
Zr  0.302  0.151  0.250
Zr  0.698  0.849  0.750
Zr  0.849  0.151  0.250
Zr  0.849  0.698  0.250

=====

[6]
A relaxed structure of PrYGa2I2. Source: OQMD, functional PBE-GGA.

- DFT total energy: -26.8 eV/cell

Cell: 4.266 4.266 12.387 Å, 90.00 90.00 120.00°
Fractional coordinates of all 6 atoms:
Pr  0.000  0.000  0.000
Y  0.000  0.000  0.333
Ga  0.333  0.667  0.197
Ga  0.667  0.333  0.145
I  0.333  0.667  0.830
I  0.667  0.333  0.493

=====

Going through the records in order, we get volume values of 24.44; 28.01; 16.24; 12.84; 27.46; 32.53 Å³/atom.
Going through the records in order, we get spin magnetization values of 0.0; 0.1; 0.2; 0.0; 0.0; 0.0 μB/f.u..